No. 1
Density functional theory data (GGA-PBE) for a relaxed Ba2BiPbN crystal.

Results
Space-group type ... P4/mmm, No. 123
Raw total energy ... -22.0 eV/f.u.
DOS(E_F) ... 1.285 states/eV/cell

Cell: 5.665 5.665 4.991 Å, 90.00 90.00 90.00°
Atoms (fractional coordinates):
Ba 0.000 0.500 0.000
Ba 0.500 0.000 0.000
Bi 0.000 0.000 0.500
Pb 0.500 0.500 0.500
N 0.500 0.500 0.000


No. 2
Density functional theory data (GGA-PBE) for a relaxed Ce2CdIn crystal.

Results
Space-group type ... Fm-3m, No. 225
Raw total energy ... -16.4 eV/f.u.
DOS(E_F) ... 16.367 states/eV/cell
Energy above the most stable polymorph in this dataset ... 0.0550 eV/atom
E_form ... -0.215 eV per atom

Cell: 5.446 5.446 5.446 Å, 60.00 60.00 60.00°
Atoms (fractional coordinates):
Ce 0.250 0.250 0.250
Ce 0.750 0.750 0.750
Cd 0.000 0.000 0.000
In 0.500 0.500 0.500


Q: Which value of DOS(E_F) does entry 1 give?
A: 1.285 states/eV/cell